# Ho2RhCl2 | Alexandria | PBE | optimized geometry
data_Ho2RhCl2
_chemical_formula_sum 'Ho4 Rh2 Cl4'
_space_group_name_H-M_alt 'C 1 2/m 1'
_space_group_IT_number 12
_space_group_name_Hall '-C 2y'
_cell_length_a 6.6513
_cell_length_b 3.8420
_cell_length_c 11.1071
_cell_angle_alpha 90.00
_cell_angle_beta 102.65
_cell_angle_gamma 90.00
loop_
_atom_site_label
_atom_site_type_symbol
_atom_site_fract_x
_atom_site_fract_y
_atom_site_fract_z
_atom_site_occupancy
Ho1 Ho 0.2229 0.0000 0.1541 1
Rh1 Rh 0.0000 0.5000 0.0000 1
Cl1 Cl 0.0517 0.0000 0.6849 1
# * E_form (uncorrected): -1.509 eV per atom
# * uncorrected energy: -55.5 eV for the cell shown

---

# HoRhCl6 | Alexandria | PBE | optimized geometry
data_HoRhCl6
_chemical_formula_sum 'Ho3 Rh3 Cl18'
_space_group_name_H-M_alt 'R -3'
_space_group_IT_number 148
_space_group_name_Hall '-R 3'
_cell_length_a 6.2939
_cell_length_b 6.2939
_cell_length_c 17.1258
_cell_angle_alpha 90.00
_cell_angle_beta 90.00
_cell_angle_gamma 120.00
loop_
_atom_site_label
_atom_site_type_symbol
_atom_site_fract_x
_atom_site_fract_y
_atom_site_fract_z
_atom_site_occupancy
Ho1 Ho 0.0000 0.0000 0.0000 1
Rh1 Rh 0.0000 0.0000 0.5000 1
Cl1 Cl 0.0040 0.6928 0.4206 1
# * E_form (uncorrected): -1.330 eV per atom
# * uncorrected energy: -101.0 eV for the cell shown

---

# HoRhCl | Alexandria | PBE | optimized geometry
data_HoRhCl
_chemical_formula_sum 'Ho6 Rh6 Cl6'
_space_group_name_H-M_alt 'R -3 m'
_space_group_IT_number 166
_space_group_name_Hall '-R 3 2"'
_cell_length_a 4.2231
_cell_length_b 4.2231
_cell_length_c 29.5253
_cell_angle_alpha 90.00
_cell_angle_beta 90.00
_cell_angle_gamma 120.00
loop_
_atom_site_label
_atom_site_type_symbol
_atom_site_fract_x
_atom_site_fract_y
_atom_site_fract_z
_atom_site_occupancy
Ho1 Ho 0.0000 0.0000 0.0606 1
Rh1 Rh 0.0000 0.0000 0.3354 1
Cl1 Cl 0.0000 0.0000 0.2196 1
# * E_form (uncorrected): -1.339 eV per atom
# * uncorrected energy: -106.8 eV for the cell shown

---

# Ho3RhCl3 | Alexandria | PBE | optimized geometry
data_Ho3RhCl3
_chemical_formula_sum 'Ho18 Rh6 Cl18'
_space_group_name_H-M_alt 'R -3'
_space_group_IT_number 148
_space_group_name_Hall '-R 3'
_cell_length_a 6.6881
_cell_length_b 6.6881
_cell_length_c 31.2249
_cell_angle_alpha 90.00
_cell_angle_beta 90.00
_cell_angle_gamma 120.00
loop_
_atom_site_label
_atom_site_type_symbol
_atom_site_fract_x
_atom_site_fract_y
_atom_site_fract_z
_atom_site_occupancy
Ho1 Ho 0.0000 0.3571 0.0532 1
Rh1 Rh 0.0000 0.0000 0.3333 1
Cl1 Cl 0.9998 0.3191 0.8919 1
# * E_form (uncorrected): -1.521 eV per atom
# * uncorrected energy: -223.6 eV for the cell shown

---

# Ho4RhS2Cl | Alexandria | PBE | optimized geometry
data_Ho4RhS2Cl
_chemical_formula_sum 'Ho4 Rh1 S2 Cl1'
_space_group_name_H-M_alt 'P 1 2/m 1'
_space_group_IT_number 10
_space_group_name_Hall '-P 2y'
_cell_length_a 6.8909
_cell_length_b 3.8177
_cell_length_c 7.0065
_cell_angle_alpha 90.00
_cell_angle_beta 108.04
_cell_angle_gamma 90.00
loop_
_atom_site_label
_atom_site_type_symbol
_atom_site_fract_x
_atom_site_fract_y
_atom_site_fract_z
_atom_site_occupancy
Ho1 Ho 0.2300 0.0000 0.2357 1
Ho2 Ho 0.2336 0.5000 0.7471 1
Rh1 Rh 0.0000 0.0000 0.5000 1
S1 S 0.0000 0.5000 0.0000 1
S2 S 0.5000 0.0000 0.0000 1
Cl1 Cl 0.5000 0.5000 0.5000 1
# * E_form (uncorrected): -1.478 eV per atom
# * uncorrected energy: -47.6 eV for the cell shown

---

# Ho4RhSe2Cl | Alexandria | PBE | optimized geometry
data_Ho4RhSe2Cl
_chemical_formula_sum 'Ho4 Rh1 Se2 Cl1'
_space_group_name_H-M_alt 'P 1 2/m 1'
_space_group_IT_number 10
_space_group_name_Hall '-P 2y'
_cell_length_a 7.0869
_cell_length_b 3.9288
_cell_length_c 7.1952
_cell_angle_alpha 90.00
_cell_angle_beta 108.21
_cell_angle_gamma 90.00
loop_
_atom_site_label
_atom_site_type_symbol
_atom_site_fract_x
_atom_site_fract_y
_atom_site_fract_z
_atom_site_occupancy
Ho1 Ho 0.2216 0.0000 0.2276 1
Ho2 Ho 0.2327 0.5000 0.7528 1
Rh1 Rh 0.0000 0.5000 0.0000 1
Se1 Se 0.0000 0.0000 0.5000 1
Se2 Se 0.5000 0.5000 0.5000 1
Cl1 Cl 0.5000 0.0000 0.0000 1
# * E_form (uncorrected): -1.380 eV per atom
# * uncorrected energy: -45.5 eV for the cell shown

---

# Ho3RuCl3 | Alexandria | PBE | optimized geometry
data_Ho3RuCl3
_chemical_formula_sum 'Ho18 Ru6 Cl18'
_space_group_name_H-M_alt 'R -3'
_space_group_IT_number 148
_space_group_name_Hall '-R 3'
_cell_length_a 6.6640
_cell_length_b 6.6640
_cell_length_c 31.4423
_cell_angle_alpha 90.00
_cell_angle_beta 90.00
_cell_angle_gamma 120.00
loop_
_atom_site_label
_atom_site_type_symbol
_atom_site_fract_x
_atom_site_fract_y
_atom_site_fract_z
_atom_site_occupancy
Ho1 Ho 0.0000 0.3466 0.0516 1
Ru1 Ru 0.0000 0.0000 0.3333 1
Cl1 Cl 0.0000 0.3274 0.8935 1
# * E_form (uncorrected): -1.358 eV per atom
# * uncorrected energy: -228.3 eV for the cell shown

---

# HoSCl3 | Alexandria | PBE | optimized geometry
data_HoSCl3
_chemical_formula_sum 'Ho4 S4 Cl12'
_space_group_name_H-M_alt 'C 1 2/m 1'
_space_group_IT_number 12
_space_group_name_Hall '-C 2y'
_cell_length_a 12.4835
_cell_length_b 7.2814
_cell_length_c 7.3552
_cell_angle_alpha 90.00
_cell_angle_beta 105.96
_cell_angle_gamma 90.00
loop_
_atom_site_label
_atom_site_type_symbol
_atom_site_fract_x
_atom_site_fract_y
_atom_site_fract_z
_atom_site_occupancy
Ho1 Ho 0.1683 0.0000 0.4991 1
S1 S 0.0554 0.5000 0.6185 1
Cl1 Cl 0.0410 0.0000 0.7323 1
Cl2 Cl 0.1992 0.2601 0.2665 1
# * E_form (uncorrected): -1.680 eV per atom
# * uncorrected energy: -90.6 eV for the cell shown

---

# Ho3SCl7 | Alexandria | PBE | optimized geometry
data_Ho3SCl7
_chemical_formula_sum 'Ho3 S1 Cl7'
_space_group_name_H-M_alt 'P 3 m 1'
_space_group_IT_number 156
_space_group_name_Hall 'P 3 -2"'
_cell_length_a 7.9631
_cell_length_b 7.9631
_cell_length_c 6.6945
_cell_angle_alpha 90.00
_cell_angle_beta 90.00
_cell_angle_gamma 120.00
loop_
_atom_site_label
_atom_site_type_symbol
_atom_site_fract_x
_atom_site_fract_y
_atom_site_fract_z
_atom_site_occupancy
Ho1 Ho 0.0124 0.5062 0.0000 1
S1 S 0.3333 0.6667 0.2112 1
Cl1 Cl 0.1757 0.3515 0.7776 1
Cl2 Cl 0.3541 0.1770 0.2015 1
Cl3 Cl 0.6667 0.3333 0.7738 1
# * E_form (uncorrected): -2.225 eV per atom
# * uncorrected energy: -55.3 eV for the cell shown

---

# HoSCl | Alexandria | PBE | optimized geometry
data_HoSCl
_chemical_formula_sum 'Ho2 S2 Cl2'
_space_group_name_H-M_alt 'I 4 m m'
_space_group_IT_number 107
_space_group_name_Hall 'I 4 -2'
_cell_length_a 3.4395
_cell_length_b 3.4395
_cell_length_c 13.5188
_cell_angle_alpha 90.00
_cell_angle_beta 90.00
_cell_angle_gamma 90.00
loop_
_atom_site_label
_atom_site_type_symbol
_atom_site_fract_x
_atom_site_fract_y
_atom_site_fract_z
_atom_site_occupancy
Ho1 Ho 0.0000 0.0000 0.0000 1
S1 S 0.0000 0.0000 0.5940 1
Cl1 Cl 0.0000 0.0000 0.3651 1
# * E_form (uncorrected): -1.791 eV per atom
# * uncorrected energy: -31.9 eV for the cell shown

---

# Ho3S4Cl | Alexandria | PBE | optimized geometry
data_Ho3S4Cl
_chemical_formula_sum 'Ho12 S16 Cl4'
_space_group_name_H-M_alt 'C 1 c 1'
_space_group_IT_number 9
_space_group_name_Hall 'C -2yc'
_cell_length_a 13.7222
_cell_length_b 6.8781
_cell_length_c 9.6666
_cell_angle_alpha 90.00
_cell_angle_beta 111.46
_cell_angle_gamma 90.00
loop_
_atom_site_label
_atom_site_type_symbol
_atom_site_fract_x
_atom_site_fract_y
_atom_site_fract_z
_atom_site_occupancy
Ho1 Ho 0.0000 0.0059 0.0000 1
Ho2 Ho 0.1034 0.4916 0.1989 1
Ho3 Ho 0.3686 0.0114 0.2832 1
S1 S 0.0660 0.3375 0.4352 1
S2 S 0.1818 0.1618 0.1463 1
S3 S 0.4072 0.1686 0.5538 1
S4 S 0.4855 0.3047 0.2405 1
Cl1 Cl 0.2970 0.3444 0.8416 1
# * E_form (uncorrected): -2.066 eV per atom
# * uncorrected energy: -194.5 eV for the cell shown

---

# Ho2SCl2 | Alexandria | PBE | optimized geometry
data_Ho2SCl2
_chemical_formula_sum 'Ho4 S2 Cl4'
_space_group_name_H-M_alt 'C 1 2/m 1'
_space_group_IT_number 12
_space_group_name_Hall '-C 2y'
_cell_length_a 6.7145
_cell_length_b 3.8767
_cell_length_c 10.6709
_cell_angle_alpha 90.00
_cell_angle_beta 103.46
_cell_angle_gamma 90.00
loop_
_atom_site_label
_atom_site_type_symbol
_atom_site_fract_x
_atom_site_fract_y
_atom_site_fract_z
_atom_site_occupancy
Ho1 Ho 0.2184 0.0000 0.1400 1
S1 S 0.0000 0.5000 0.0000 1
Cl1 Cl 0.0557 0.0000 0.6997 1
# * E_form (uncorrected): -2.025 eV per atom
# * uncorrected energy: -54.2 eV for the cell shown

---

# HoS5Cl | Alexandria | PBE | optimized geometry
data_HoS5Cl
_chemical_formula_sum 'Ho2 S10 Cl2'
_space_group_name_H-M_alt 'C 1 2 1'
_space_group_IT_number 5
_space_group_name_Hall 'C 2y'
_cell_length_a 5.7305
_cell_length_b 22.6609
_cell_length_c 4.1348
_cell_angle_alpha 90.00
_cell_angle_beta 127.56
_cell_angle_gamma 90.00
loop_
_atom_site_label
_atom_site_type_symbol
_atom_site_fract_x
_atom_site_fract_y
_atom_site_fract_z
_atom_site_occupancy
Ho1 Ho 0.0000 0.0000 0.0000 1
S1 S 0.0000 0.2096 0.0000 1
S2 S 0.1898 0.7657 0.5221 1
S3 S 0.2348 0.0605 0.6846 1
Cl1 Cl 0.0000 0.4339 0.5000 1
# * E_form (uncorrected): -0.722 eV per atom
# * uncorrected energy: -64.2 eV for the cell shown

---

# HoSCl | Alexandria | PBE | optimized geometry
data_HoSCl
_chemical_formula_sum 'Ho1 S1 Cl1'
_space_group_name_H-M_alt 'P 3 m 1'
_space_group_IT_number 156
_space_group_name_Hall 'P 3 -2"'
_cell_length_a 4.0040
_cell_length_b 4.0040
_cell_length_c 6.5248
_cell_angle_alpha 90.00
_cell_angle_beta 90.00
_cell_angle_gamma 120.00
loop_
_atom_site_label
_atom_site_type_symbol
_atom_site_fract_x
_atom_site_fract_y
_atom_site_fract_z
_atom_site_occupancy
Ho1 Ho 0.0000 0.0000 0.0000 1
S1 S 0.3333 0.6667 0.8098 1
Cl1 Cl 0.6667 0.3333 0.2486 1
# * E_form (uncorrected): -2.101 eV per atom
# * uncorrected energy: -16.9 eV for the cell shown

---

# Ho2SCl3 | Alexandria | PBE | optimized geometry
data_Ho2SCl3
_chemical_formula_sum 'Ho8 S4 Cl12'
_space_group_name_H-M_alt 'C 1 2/m 1'
_space_group_IT_number 12
_space_group_name_Hall '-C 2y'
_cell_length_a 15.7127
_cell_length_b 4.1178
_cell_length_c 11.9287
_cell_angle_alpha 90.00
_cell_angle_beta 122.87
_cell_angle_gamma 90.00
loop_
_atom_site_label
_atom_site_type_symbol
_atom_site_fract_x
_atom_site_fract_y
_atom_site_fract_z
_atom_site_occupancy
Ho1 Ho 0.1016 0.0000 0.4489 1
Ho2 Ho 0.1291 0.5000 0.8274 1
S1 S 0.1090 0.0000 0.6819 1
Cl1 Cl 0.0632 0.5000 0.2625 1
Cl2 Cl 0.1627 0.0000 0.0137 1
Cl3 Cl 0.2324 0.5000 0.5953 1
# * E_form (uncorrected): -2.027 eV per atom
# * uncorrected energy: -123.9 eV for the cell shown

---

# HoSCl | Alexandria | PBE | optimized geometry
data_HoSCl
_chemical_formula_sum 'Ho2 S2 Cl2'
_space_group_name_H-M_alt 'P 1 21/m 1'
_space_group_IT_number 11
_space_group_name_Hall '-P 2yb'
_cell_length_a 3.9757
_cell_length_b 5.3480
_cell_length_c 9.2021
_cell_angle_alpha 90.00
_cell_angle_beta 99.41
_cell_angle_gamma 90.00
loop_
_atom_site_label
_atom_site_type_symbol
_atom_site_fract_x
_atom_site_fract_y
_atom_site_fract_z
_atom_site_occupancy
Ho1 Ho 0.2014 0.2500 0.3721 1
S1 S 0.2199 0.7500 0.4203 1
Cl1 Cl 0.3724 0.7500 0.8227 1
# * E_form (uncorrected): -2.187 eV per atom
# * uncorrected energy: -34.2 eV for the cell shown

---

# Ho4S5Cl | Alexandria | PBE | optimized geometry
data_Ho4S5Cl
_chemical_formula_sum 'Ho8 S10 Cl2'
_space_group_name_H-M_alt 'P m m n'
_space_group_IT_number 59
_cell_length_a 8.2841
_cell_length_b 9.4133
_cell_length_c 6.6752
_cell_angle_alpha 90.00
_cell_angle_beta 90.00
_cell_angle_gamma 90.00
loop_
_space_group_symop_operation_xyz
'x,y,z'
'-x,-y,-z'
'-x+1/2,-y+1/2,z'
'x+1/2,y+1/2,-z'
'x+1/2,-y,-z'
'-x+1/2,y,z'
'-x,y+1/2,-z'
'x,-y+1/2,z'
loop_
_atom_site_label
_atom_site_type_symbol
_atom_site_fract_x
_atom_site_fract_y
_atom_site_fract_z
_atom_site_occupancy
Ho1 Ho 0.0296 0.2500 0.0349 1
Ho2 Ho 0.2500 0.0096 0.5138 1
S1 S 0.0101 0.5500 0.2438 1
S2 S 0.2500 0.2500 0.3243 1
Cl1 Cl 0.2500 0.7500 0.7220 1
# * E_form (uncorrected): -1.860 eV per atom
# * uncorrected energy: -118.8 eV for the cell shown

---

# HoSCl | Alexandria | PBE | optimized geometry
data_HoSCl
_chemical_formula_sum 'Ho4 S4 Cl4'
_space_group_name_H-M_alt 'F -4 3 m'
_space_group_IT_number 216
_space_group_name_Hall 'F -4 2 3'
_cell_length_a 6.5540
_cell_length_b 6.5540
_cell_length_c 6.5540
_cell_angle_alpha 90.00
_cell_angle_beta 90.00
_cell_angle_gamma 90.00
loop_
_atom_site_label
_atom_site_type_symbol
_atom_site_fract_x
_atom_site_fract_y
_atom_site_fract_z
_atom_site_occupancy
Ho1 Ho 0.0000 0.0000 0.0000 1
S1 S 0.2500 0.2500 0.2500 1
Cl1 Cl 0.2500 0.2500 0.7500 1
# * E_form (uncorrected): -2.007 eV per atom
# * uncorrected energy: -66.3 eV for the cell shown

---

# HoSbCl6 | Alexandria | PBE | optimized geometry
data_HoSbCl6
_chemical_formula_sum 'Ho1 Sb1 Cl6'
_space_group_name_H-M_alt 'P -1'
_space_group_IT_number 2
_space_group_name_Hall '-P 1'
_cell_length_a 6.6861
_cell_length_b 6.6862
_cell_length_c 7.1989
_cell_angle_alpha 62.37
_cell_angle_beta 62.37
_cell_angle_gamma 60.06
loop_
_atom_site_label
_atom_site_type_symbol
_atom_site_fract_x
_atom_site_fract_y
_atom_site_fract_z
_atom_site_occupancy
Ho1 Ho 0.0000 0.0000 0.0000 1
Sb1 Sb 0.5000 0.5000 0.5000 1
Cl1 Cl 0.0937 0.4025 0.7510 1
Cl2 Cl 0.2475 0.9063 0.2490 1
Cl3 Cl 0.4023 0.7529 0.7511 1
# * E_form (uncorrected): -1.518 eV per atom
# * uncorrected energy: -31.9 eV for the cell shown

---

# HoSc2Cl | Alexandria | PBE | optimized geometry
data_HoSc2Cl
_chemical_formula_sum 'Ho3 Sc6 Cl3'
_space_group_name_H-M_alt 'R -3 m'
_space_group_IT_number 166
_space_group_name_Hall '-R 3 2"'
_cell_length_a 3.4186
_cell_length_b 3.4186
_cell_length_c 27.9545
_cell_angle_alpha 90.00
_cell_angle_beta 90.00
_cell_angle_gamma 120.00
loop_
_atom_site_label
_atom_site_type_symbol
_atom_site_fract_x
_atom_site_fract_y
_atom_site_fract_z
_atom_site_occupancy
Ho1 Ho 0.0000 0.0000 0.0000 1
Sc1 Sc 0.0000 0.0000 0.2385 1
Cl1 Cl 0.0000 0.0000 0.5000 1
# * E_form (uncorrected): -0.588 eV per atom
# * uncorrected energy: -64.3 eV for the cell shown

---

no.,total magnetization (μB per cell)
1,0.00
2,0.00
3,0.00
4,0.00
5,0.00
6,0.00
7,0.00
8,4.00
9,0.03
10,0.00
11,0.00
12,0.00
13,0.00
14,0.00
15,0.00
16,0.00
17,2.01
18,0.00
19,0.00
20,0.05